1.
La2ZnSnO6 | PBE-GGA | relaxed

The structure belongs to space group R-3 (No. 148, hexagonal axes); the cell edges are 5.8058, 5.8058 and 13.8359 Å and the angles 90.00°, 90.00° and 120.00°. The inequivalent atoms are La at (0.0000, 0.0000, 0.2494), Zn at (0.0000, 0.0000, 0.5000), Sn at (0.0000, 0.0000, 0.0000) and O at (0.0066, 0.4107, 0.7506).

The density comes out at 6.88 g/cm³. The formation energy (no corrections) comes out at -2489 meV per atom. As for the total energy: -6.9776 eV/atom. The total magnetic moment comes out at 0.000 Bohr magnetons per cell.

2.
Li2ZnCr | PBE-GGA | relaxed

The structure belongs to space group P4/mmm (No. 123); the cell edges are 3.8182, 3.8182 and 4.3508 Å and the angles 90.00°, 90.00° and 90.00°. The inequivalent atoms are Li at (0.0000, 0.5000, 0.0000), Zn at (0.0000, 0.0000, 0.5000) and Cr at (0.5000, 0.5000, 0.5000).

The calculation puts the energy of formation at 0.227 eV per atom. The density comes out at 3.44 g/cm³. The calculation puts the energy above the most stable polymorph in this dataset at 0.036 eV/atom. As for the total energy: -3.4539 eV/atom. The total magnetic moment comes out at 4.002 Bohr magnetons per cell.

3.
CeTm2Ni9 | PBE-GGA | relaxed

The structure belongs to space group P6_3/mmc (No. 194); the cell edges are 4.9463, 4.9463 and 16.1617 Å and the angles 90.00°, 90.00° and 120.00°. The inequivalent atoms are Ce at (0.3333, 0.6667, 0.2500), Tm at (0.3333, 0.6667, 0.0404), Ni at (0.0000, 0.0000, 0.0000), Ni at (0.0000, 0.0000, 0.2500), Ni at (0.1675, 0.3349, 0.6246) and Ni at (0.3333, 0.6667, 0.7500).

The calculation puts the energy of formation at -0.441 eV per atom. The density comes out at 9.76 g/cm³. As for the total energy: -6.0171 eV/atom. The total magnetic moment comes out at 0.000 Bohr magnetons per cell.

4.
K2AgOs | PBE-GGA | relaxed

The structure belongs to space group Pmm2 (No. 25); the cell edges are 2.7804, 4.5515 and 9.7996 Å and the angles 90.00°, 90.00° and 90.00°. The inequivalent atoms are K at (0.0000, 0.0000, 0.0000), K at (0.5000, 0.5000, 0.4312), Ag at (0.5000, 0.5000, 0.7499) and Os at (0.0000, 0.0000, 0.6810).

The calculation puts the energy of formation at 0.877 eV per atom. The density comes out at 5.04 g/cm³. The calculation puts the energy above the most stable polymorph in this dataset at 0.012 eV/atom. As for the total energy: -3.1921 eV/atom. The total magnetic moment comes out at 0.036 Bohr magnetons per cell.

5.
NpTl2Br3F3 | PBE-GGA | relaxed

The structure belongs to space group P-62m (No. 189); the cell edges are 8.4804, 8.4804 and 3.7166 Å and the angles 90.00°, 90.00° and 120.00°. The inequivalent atoms are Np at (0.0000, 0.0000, 0.0000), Tl at (0.3333, 0.6667, 0.5000), Br at (0.0000, 0.6433, 0.0000) and F at (0.0000, 0.1720, 0.5000).

The density comes out at 6.76 g/cm³. The formation energy (no corrections) comes out at -1891 meV per atom. As for the total energy: -5.0360 eV/atom. The total magnetic moment comes out at 2.996 Bohr magnetons per cell.

6.
Li4Tl4Cd3 | PBE-GGA | relaxed

The structure belongs to space group Immm (No. 71); the cell edges are 3.2649, 8.7031 and 17.5007 Å and the angles 90.00°, 90.00° and 90.00°. The inequivalent atoms are Li at (0.0000, 0.0000, 0.2350), Li at (0.0000, 0.2080, 0.0000), Tl at (0.0000, 0.3061, 0.1570), Cd at (0.0000, 0.0000, 0.5000) and Cd at (0.0000, 0.5000, 0.4088).

The calculation puts the energy of formation at -0.122 eV per atom. The density comes out at 7.90 g/cm³. As for the total energy: -1.9284 eV/atom. The total magnetic moment comes out at 0.000 Bohr magnetons per cell.

7.
Tl2ReRh | PBE-GGA | relaxed

The structure belongs to space group I-4m2 (No. 119); the cell edges are 4.0991, 4.0991 and 8.9885 Å and the angles 90.00°, 90.00° and 90.00°. The inequivalent atoms are Tl at (0.0000, 0.0000, 0.0000), Tl at (0.0000, 0.5000, 0.2500), Re at (0.0000, 0.5000, 0.7500) and Rh at (0.0000, 0.0000, 0.5000).

The calculation puts the energy of formation at 0.928 eV per atom. The density comes out at 15.35 g/cm³. The calculation puts the energy above the most stable polymorph in this dataset at 0.514 eV/atom. As for the total energy: -5.2053 eV/atom. The total magnetic moment comes out at 3.034 Bohr magnetons per cell.

8.
Y2TaI | PBE-GGA | relaxed

The structure belongs to space group Fm-3m (No. 225); the cell edges are 7.4947, 7.4947 and 7.4947 Å and the angles 90.00°, 90.00° and 90.00°. The inequivalent atoms are Y at (0.2500, 0.2500, 0.2500), Ta at (0.0000, 0.0000, 0.0000) and I at (0.0000, 0.0000, 0.5000).

The density comes out at 7.66 g/cm³. The formation energy (no corrections) comes out at 465 meV per atom. The calculation puts the energy above the most stable polymorph in this dataset at 0.000 eV/atom. As for the total energy: -6.1181 eV/atom. The total magnetic moment comes out at 0.003 Bohr magnetons per cell.